# 1
Computed, not measured: a geometry-optimized Sc2Mn2Nb structure at the PBE-GGA level of DFT.

Geometry as CIF:
```
data_Sc2Mn2Nb
_cell_length_a 6.2216
_cell_length_b 6.2216
_cell_length_c 4.4577
_cell_angle_alpha 90.00
_cell_angle_beta 90.00
_cell_angle_gamma 90.00
_symmetry_space_group_name_H-M 'P 4/m b m'
_symmetry_Int_Tables_number 127
_symmetry_space_group_name_Hall '-P 4 2ab'
loop_
_atom_site_label
_atom_site_type_symbol
_atom_site_fract_x
_atom_site_fract_y
_atom_site_fract_z
Sc1 Sc 0.1753 0.3247 0.0000
Mn1 Mn 0.1209 0.6209 0.5000
Nb1 Nb 0.0000 0.0000 0.5000
```

Computed properties:
Energy relative to the elements   0.3 eV per formula unit

---

# 2
Computed, not measured: a geometry-optimized La2CdIn structure at the PBE-GGA level of DFT.

Geometry as CIF:
```
data_La2CdIn
_cell_length_a 8.9264
_cell_length_b 8.9264
_cell_length_c 6.5066
_cell_angle_alpha 90.00
_cell_angle_beta 90.00
_cell_angle_gamma 90.00
_symmetry_space_group_name_H-M 'I -4 2 d'
_symmetry_Int_Tables_number 122
_symmetry_space_group_name_Hall 'I -4 2bw'
loop_
_atom_site_label
_atom_site_type_symbol
_atom_site_fract_x
_atom_site_fract_y
_atom_site_fract_z
La1 La 0.2396 0.2500 0.1250
Cd1 Cd 0.0000 0.0000 0.0000
In1 In 0.0000 0.0000 0.5000
```

Computed properties:
Energy relative to the elements   -0.3 eV per formula unit

---

# 3
Computed, not measured: a geometry-optimized Tl2CdSb structure at the PBE-GGA level of DFT.

Geometry as CIF:
```
data_Tl2CdSb
_cell_length_a 11.4898
_cell_length_b 3.3547
_cell_length_c 6.0177
_cell_angle_alpha 90.00
_cell_angle_beta 100.16
_cell_angle_gamma 90.00
_symmetry_space_group_name_H-M 'C 1 2/m 1'
_symmetry_Int_Tables_number 12
_symmetry_space_group_name_Hall '-C 2y'
loop_
_atom_site_label
_atom_site_type_symbol
_atom_site_fract_x
_atom_site_fract_y
_atom_site_fract_z
Tl1 Tl 0.2484 0.0000 0.2476
Cd1 Cd 0.0000 0.5000 0.0000
Sb1 Sb 0.0000 0.0000 0.5000
```

Computed properties:
Relative energy among the computed polymorphs   59.1 meV per atom
Uncorrected formation energy   65.2 meV per atom